# 1
The following is a PBE-GGA calculation of KZnIr2 after structural relaxation, from the Alexandria database.

Computed properties:
**Energy relative to the elements**: 1.92 eV per formula unit
**Size of the total moment**: 0.0 μB/cell

Unit cell a=2.7713 b=2.7713 c=9.1535 alpha=90.00 beta=90.00 gamma=90.00
With the nearest neighbours (Å) after each atom.
Space group P4/mmm (No. 123)
Inequivalent atoms, fractional coordinates:
K  0.0000  0.0000  0.0000  4 K 2.77
Zn  0.0000  0.0000  0.5000  8 Ir 2.69, 4 Zn 2.77
Ir  0.5000  0.5000  0.2987  4 Zn 2.69, 4 Ir 2.77

# 2
The following is a PBE-GGA calculation of KZn2Ir after structural relaxation, from the Alexandria database.

Computed properties:
**Energy relative to the elements**: 0.84 eV per formula unit
**Size of the total moment**: 0.0 μB/cell

Unit cell a=3.4216 b=3.4216 c=7.7350 alpha=90.00 beta=90.00 gamma=90.00
With the nearest neighbours (Å) after each atom.
Space group P4mm (No. 99)
Inequivalent atoms, fractional coordinates:
K  0.0000  0.0000  0.0000  5 Zn 3.25-3.59, 4 K 3.42, 4 Ir 3.53
Zn  0.0000  0.0000  0.5798  4 Ir 2.51
Zn  0.5000  0.5000  0.3431  1 Ir 2.50
Ir  0.5000  0.5000  0.6668  5 Zn 2.50-2.51

# 3
The following is a PBE-GGA calculation of KZnIr2 after structural relaxation, from the Alexandria database.

Computed properties:
**Energy relative to the elements**: 2.76 eV per formula unit
**Size of the total moment**: 0.0 μB/cell

Unit cell a=2.7569 b=4.9209 c=5.0971 alpha=90.00 beta=90.00 gamma=90.00
With the nearest neighbours (Å) after each atom.
Space group Pmmm (No. 47)
Inequivalent atoms, fractional coordinates:
K  0.0000  0.0000  0.0000  2 K 2.76, 4 Zn 2.82, 4 Ir 2.90
Zn  0.5000  0.5000  0.0000  2 Zn 2.76, 4 K 2.82, 4 Ir 2.90
Ir  0.0000  0.5000  0.5000  6 Ir 2.76-2.82, 4 Zn 2.90
Ir  0.5000  0.0000  0.5000  6 Ir 2.76-2.82, 4 K 2.90

# 4
The following is a PBE-GGA calculation of KZnIr2 after structural relaxation, from the Alexandria database.

Computed properties:
**Energy relative to the elements**: 2.30 eV per formula unit
**Size of the total moment**: 0.0 μB/cell

Unit cell a=4.7739 b=4.7739 c=18.0435 alpha=90.00 beta=90.00 gamma=90.00
With the nearest neighbours (Å) after each atom.
Space group I-42d (No. 122)
Inequivalent atoms, fractional coordinates:
K  0.0000  0.0000  0.0000  4 Zn 3.38, 8 Ir 3.40-3.59
Zn  0.0000  0.0000  0.5000  4 Ir 2.56
Ir  0.0299  0.7500  0.6250  2 Ir 2.40, 2 Zn 2.56

# 5
The following is a PBE-GGA calculation of KZn2Ir after structural relaxation, from the Alexandria database.

Computed properties:
**Energy relative to the elements**: 0.76 eV per formula unit
**Size of the total moment**: 0.0 μB/cell

Unit cell a=12.1901 b=2.8211 c=8.7598 alpha=90.00 beta=133.86 gamma=90.00
With the nearest neighbours (Å) after each atom.
Space group Cm (No. 8)
Inequivalent atoms, fractional coordinates:
K  0.0000  0.0000  0.0000  2 K 2.82, 1 Ir 3.12
Zn  0.0858  0.0000  0.6710  2 Ir 2.52, 2 Zn 2.57
Zn  0.4150  0.0000  0.3313  2 Ir 2.52, 2 Zn 2.57
Ir  0.2450  0.5000  0.0011  4 Zn 2.52

# 6
The following is a PBE-GGA calculation of KZnIr2 after structural relaxation, from the Alexandria database.

Computed properties:
**Energy relative to the elements**: 1.22 eV per formula unit
**Size of the total moment**: 0.0 μB/cell

Unit cell a=8.7870 b=2.8041 c=7.1604 alpha=90.00 beta=96.28 gamma=90.00
With the nearest neighbours (Å) after each atom.
Space group Cm (No. 8)
Inequivalent atoms, fractional coordinates:
K  0.0000  0.0000  0.0000  2 K 2.80
Zn  0.2772  0.5000  0.3444  4 Ir 2.64-2.72, 2 Zn 2.80
Ir  0.0006  0.5000  0.5529  3 Ir 2.46-2.56, 2 Zn 2.72
Ir  0.2407  0.0000  0.6486  3 Ir 2.46-2.56, 2 Zn 2.64

# 7
The following is a PBE-GGA calculation of KZn2Ir after structural relaxation, from the Alexandria database.

Computed properties:
**Energy relative to the elements**: 1.28 eV per formula unit
**Size of the total moment**: 0.1 μB/cell

Unit cell a=2.7959 b=5.7981 c=11.1561 alpha=90.00 beta=90.00 gamma=90.00
With the nearest neighbours (Å) after each atom.
Space group Immm (No. 71)
Inequivalent atoms, fractional coordinates:
K  0.0000  0.0000  0.0000  2 K 2.80
Zn  0.0000  0.5000  0.1898  2 Ir 2.54, 2 Zn 2.80
Ir  0.0000  0.0000  0.5000  4 Zn 2.54, 2 Ir 2.80

# 8
The following is a PBE-GGA calculation of KZnIr2 after structural relaxation, from the Alexandria database.

Computed properties:
**Energy relative to the elements**: 2.02 eV per formula unit
**Size of the total moment**: 0.0 μB/cell

Unit cell a=2.6417 b=4.1228 c=7.3835 alpha=90.00 beta=90.00 gamma=90.00
With the nearest neighbours (Å) after each atom.
Space group Pmmm (No. 47)
Inequivalent atoms, fractional coordinates:
K  0.0000  0.0000  0.0000  2 K 2.64
Zn  0.0000  0.0000  0.5000  2 Zn 2.64, 8 Ir 2.75
Ir  0.5000  0.5000  0.3307  3 Ir 2.50-2.64, 4 Zn 2.75

# 9
The following is a PBE-GGA calculation of KZn4Ir after structural relaxation, from the Alexandria database.

Computed properties:
**Energy relative to the elements**: 1.64 eV per formula unit
**Size of the total moment**: 0.0 μB/cell

Unit cell a=7.4217 b=7.4217 c=7.4217 alpha=90.00 beta=90.00 gamma=90.00
With the nearest neighbours (Å) after each atom.
Space group F-43m (No. 216)
Inequivalent atoms, fractional coordinates:
K  0.0000  0.0000  0.0000  12 Zn 3.08, 4 Ir 3.21
Zn  0.1234  0.1234  0.6234  6 Zn 2.59-2.66
Ir  0.2500  0.2500  0.2500  12 Zn 3.07, 4 K 3.21

# 10
The following is a PBE-GGA calculation of KZn2Ir after structural relaxation, from the Alexandria database.

Computed properties:
**Energy relative to the elements**: 1.66 eV per formula unit
**Size of the total moment**: 0.0 μB/cell

Unit cell a=6.6638 b=6.6638 c=6.6638 alpha=90.00 beta=90.00 gamma=90.00
With the nearest neighbours (Å) after each atom.
Space group Fm-3m (No. 225)
Inequivalent atoms, fractional coordinates:
K  0.0000  0.0000  0.0000  8 Zn 2.89
Zn  0.2500  0.2500  0.2500  4 K 2.89, 4 Ir 2.89
Ir  0.0000  0.0000  0.5000  8 Zn 2.89

# 11
The following is a PBE-GGA calculation of KZnIr2 after structural relaxation, from the Alexandria database.

Computed properties:
**Energy relative to the elements**: 3.66 eV per formula unit
**Size of the total moment**: 0.9 μB/cell

Unit cell a=3.9665 b=3.9665 c=4.4989 alpha=90.00 beta=90.00 gamma=90.00
With the nearest neighbours (Å) after each atom.
Space group P4/mmm (No. 123)
Inequivalent atoms, fractional coordinates:
K  0.0000  0.0000  0.0000  4 Zn 2.80, 8 Ir 3.00
Zn  0.5000  0.5000  0.0000  4 K 2.80, 8 Ir 3.00
Ir  0.0000  0.5000  0.5000  4 Ir 2.80, 4 K 3.00, 4 Zn 3.00

# 12
The following is a PBE-GGA calculation of KZnIr2 after structural relaxation, from the Alexandria database.

Computed properties:
**Energy relative to the elements**: 1.35 eV per formula unit
**Size of the total moment**: 0.0 μB/cell

Unit cell a=2.8149 b=2.8149 c=9.3871 alpha=90.00 beta=90.00 gamma=90.00
With the nearest neighbours (Å) after each atom.
Space group P4mm (No. 99)
Inequivalent atoms, fractional coordinates:
K  0.0000  0.0000  0.0000  4 K 2.81
Zn  0.5000  0.5000  0.3216  4 Ir 2.75, 4 Zn 2.81
Ir  0.0000  0.0000  0.5245  8 Ir 2.65-2.81, 4 Zn 2.75
Ir  0.5000  0.5000  0.7106  8 Ir 2.65-2.81

# 13
The following is a PBE-GGA calculation of KZn2Ir after structural relaxation, from the Alexandria database.

Computed properties:
**Energy relative to the elements**: 1.01 eV per formula unit
**Size of the total moment**: 0.0 μB/cell

Unit cell a=5.2267 b=5.2267 c=16.5228 alpha=90.00 beta=90.00 gamma=90.00
With the nearest neighbours (Å) after each atom.
Space group I4_1/amd (No. 141, origin choice 2)
Inequivalent atoms, fractional coordinates:
K  0.0000  0.2500  0.3750  8 Zn 3.58, 4 Ir 3.70
Zn  0.0000  0.0000  0.0000  2 Ir 2.44, 2 Zn 2.61
Ir  0.0000  0.2500  0.8750  4 Zn 2.44

# 14
The following is a PBE-GGA calculation of K2Zn2Ir after structural relaxation, from the Alexandria database.

Computed properties:
**Energy relative to the elements**: 4.97 eV per formula unit
**Size of the total moment**: 2.0 μB/cell

Unit cell a=3.9771 b=3.9771 c=14.4742 alpha=90.00 beta=90.00 gamma=90.00
With the nearest neighbours (Å) after each atom.
Space group I4/mmm (No. 139)
Inequivalent atoms, fractional coordinates:
K  0.0000  0.5000  0.2500  4 K 2.81
Zn  0.0000  0.0000  0.0795  1 Zn 2.30
Ir  0.0000  0.0000  0.5000  8 Zn 3.04

# 15
The following is a PBE-GGA calculation of KZn2Ir after structural relaxation, from the Alexandria database.

Computed properties:
**Energy relative to the elements**: 0.59 eV per formula unit
**Size of the total moment**: 0.4 μB/cell

Unit cell a=3.1709 b=3.1709 c=8.1199 alpha=90.00 beta=90.00 gamma=90.00
With the nearest neighbours (Å) after each atom.
Space group P4/mmm (No. 123)
Inequivalent atoms, fractional coordinates:
K  0.0000  0.0000  0.0000  4 K 3.17, 8 Zn 3.50
Zn  0.5000  0.5000  0.3311  4 Ir 2.63, 1 Zn 2.74
Ir  0.0000  0.0000  0.5000  8 Zn 2.63

# 16
The following is a PBE-GGA calculation of KZn2Ir after structural relaxation, from the Alexandria database.

Computed properties:
**Energy relative to the elements**: 1.78 eV per formula unit
**Size of the total moment**: 0.0 μB/cell

Unit cell a=6.8964 b=6.9343 c=2.9679 alpha=90.00 beta=90.00 gamma=90.00
With the nearest neighbours (Å) after each atom.
Space group Cmmm (No. 65)
Inequivalent atoms, fractional coordinates:
K  0.0000  0.0000  0.0000  8 Zn 2.86, 2 K 2.97
Zn  0.2500  0.2500  0.5000  4 K 2.86, 4 Ir 2.86, 2 Zn 2.97
Ir  0.0000  0.5000  0.0000  8 Zn 2.86, 2 Ir 2.97

# 17
The following is a PBE-GGA calculation of K2Zn2Ir after structural relaxation, from the Alexandria database.

Computed properties:
**Energy relative to the elements**: 0.98 eV per formula unit
**Size of the total moment**: 0.0 μB/cell

Unit cell a=6.8559 b=6.8559 c=5.6594 alpha=90.00 beta=90.00 gamma=90.00
With the nearest neighbours (Å) after each atom.
Space group P4/mbm (No. 127)
Inequivalent atoms, fractional coordinates:
K  0.1726  0.3274  0.0000  2 Zn 3.14, 1 K 3.35
Zn  0.1881  0.6881  0.5000  2 Ir 2.50
Ir  0.0000  0.0000  0.5000  4 Zn 2.50

# 18
The following is a PBE-GGA calculation of KZn2Ir after structural relaxation, from the Alexandria database.

Computed properties:
**Energy relative to the elements**: 1.62 eV per formula unit
**Size of the total moment**: 0.0 μB/cell

Unit cell a=3.0011 b=4.8202 c=10.0110 alpha=90.00 beta=90.00 gamma=90.00
With the nearest neighbours (Å) after each atom.
Space group Cmm2 (No. 35)
Inequivalent atoms, fractional coordinates:
K  0.0000  0.0000  0.0000  6 K 2.84-3.00, 2 Ir 3.09
Zn  0.0000  0.0000  0.4774  2 Ir 2.56, 6 Zn 2.68-2.84
Zn  0.0000  0.5000  0.6996  8 Zn 2.68-3.00
Ir  0.0000  0.5000  0.2698  2 Zn 2.56, 4 Ir 2.84

# 19
The following is a PBE-GGA calculation of KZnIr2 after structural relaxation, from the Alexandria database.

Computed properties:
**Energy relative to the elements**: 2.27 eV per formula unit
**Size of the total moment**: 0.0 μB/cell

Unit cell a=2.7241 b=5.3862 c=10.8221 alpha=90.00 beta=90.00 gamma=90.00
With the nearest neighbours (Å) after each atom.
Space group Imm2 (No. 44)
Inequivalent atoms, fractional coordinates:
K  0.0000  0.0000  0.0000  2 K 2.72, 4 Ir 3.02
Zn  0.0000  0.5000  0.7971  2 Ir 2.63, 2 Zn 2.72
Ir  0.0000  0.0000  0.5047  4 Ir 2.54-2.72, 2 Zn 2.63
Ir  0.0000  0.5000  0.2023  4 Ir 2.54-2.72

# 20
The following is a PBE-GGA calculation of KZn2Ir2 after structural relaxation, from the Alexandria database.

Computed properties:
**Energy relative to the elements**: 0.63 eV per formula unit
**Size of the total moment**: 0.0 μB/cell

Unit cell a=7.9972 b=7.9972 c=2.7097 alpha=90.00 beta=90.00 gamma=90.00
With the nearest neighbours (Å) after each atom.
Space group P4/mbm (No. 127)
Inequivalent atoms, fractional coordinates:
K  0.0000  0.0000  0.0000  2 K 2.71
Zn  0.1715  0.3285  0.5000  2 Zn 2.71, 6 Ir 2.71-2.73
Ir  0.1208  0.6208  0.0000  3 Ir 2.71-2.73, 6 Zn 2.71-2.73